# Re3Ir4 (PBE, relaxed)
data_Re3Ir4
_chemical_formula_sum 'Re3 Ir4'
_cell_length_a 5.0417
_cell_length_b 5.0417
_cell_length_c 4.8992
_cell_angle_alpha 90.00
_cell_angle_beta 90.00
_cell_angle_gamma 120.00
_space_group_name_H-M_alt 'P 6/m m m'
_space_group_IT_number 191
_space_group_name_Hall '-P 6 2'
loop_
_atom_site_label
_atom_site_type_symbol
_atom_site_fract_x
_atom_site_fract_y
_atom_site_fract_z
Re1 Re 0.0000 0.5000 0.0000
Ir1 Ir 0.0000 0.0000 0.2569
Ir2 Ir 0.3333 0.6667 0.5000
# V = 15.41 Å³ per atom
# energy of formation from the pure elements = 277.5 meV/atom

=====

# ReIr (PBE, relaxed)
data_ReIr
_chemical_formula_sum 'Re6 Ir6'
_cell_length_a 2.7450
_cell_length_b 2.7450
_cell_length_c 27.1107
_cell_angle_alpha 90.00
_cell_angle_beta 90.00
_cell_angle_gamma 120.00
_space_group_name_H-M_alt 'R -3 m'
_space_group_IT_number 166
_space_group_name_Hall '-R 3 2"'
loop_
_atom_site_label
_atom_site_type_symbol
_atom_site_fract_x
_atom_site_fract_y
_atom_site_fract_z
Re1 Re 0.0000 0.0000 0.1246
Ir1 Ir 0.0000 0.0000 0.3763
# V = 14.74 Å³ per atom
# energy of formation from the pure elements = -52.3 meV/atom

=====

# ReIr2 (PBE, relaxed)
data_ReIr2
_chemical_formula_sum 'Re4 Ir8'
_cell_length_a 6.1258
_cell_length_b 6.1258
_cell_length_c 5.0405
_cell_angle_alpha 90.00
_cell_angle_beta 90.00
_cell_angle_gamma 90.00
_space_group_name_H-M_alt 'I 4/m c m'
_space_group_IT_number 140
_space_group_name_Hall '-I 4 2c'
loop_
_atom_site_label
_atom_site_type_symbol
_atom_site_fract_x
_atom_site_fract_y
_atom_site_fract_z
Re1 Re 0.0000 0.0000 0.2500
Ir1 Ir 0.1437 0.3563 0.0000
# V = 15.76 Å³ per atom
# energy of formation from the pure elements = 357.9 meV/atom

=====

# ReIr2 (PBE, relaxed)
data_ReIr2
_chemical_formula_sum 'Re4 Ir8'
_cell_length_a 10.0188
_cell_length_b 2.7659
_cell_length_c 6.5216
_cell_angle_alpha 90.00
_cell_angle_beta 104.09
_cell_angle_gamma 90.00
_space_group_name_H-M_alt 'C 1 2/m 1'
_space_group_IT_number 12
_space_group_name_Hall '-C 2y'
loop_
_atom_site_label
_atom_site_type_symbol
_atom_site_fract_x
_atom_site_fract_y
_atom_site_fract_z
Re1 Re 0.1945 0.0000 0.1389
Ir1 Ir 0.0279 0.5000 0.8103
Ir2 Ir 0.1418 0.0000 0.5345
# V = 14.61 Å³ per atom
# energy of formation from the pure elements = -149.9 meV/atom

=====

# Re5Ir3 (PBE, relaxed)
data_Re5Ir3
_chemical_formula_sum 'Re20 Ir12'
_cell_length_a 10.4102
_cell_length_b 9.6266
_cell_length_c 5.2019
_cell_angle_alpha 90.00
_cell_angle_beta 115.56
_cell_angle_gamma 90.00
_space_group_name_H-M_alt 'C 1 2/c 1'
_space_group_IT_number 15
_space_group_name_Hall '-C 2yc'
loop_
_atom_site_label
_atom_site_type_symbol
_atom_site_fract_x
_atom_site_fract_y
_atom_site_fract_z
Re1 Re 0.0000 0.0432 0.2500
Re2 Re 0.1260 0.2920 0.5037
Re3 Re 0.2474 0.0420 0.7492
Ir1 Ir 0.0000 0.4589 0.7500
Ir2 Ir 0.1252 0.2090 0.0004
# V = 14.70 Å³ per atom
# energy of formation from the pure elements = -188.0 meV/atom

=====

# ReIr2 (PBE, relaxed)
data_ReIr2
_chemical_formula_sum 'Re2 Ir4'
_cell_length_a 2.7504
_cell_length_b 2.7504
_cell_length_c 11.6203
_cell_angle_alpha 90.00
_cell_angle_beta 90.00
_cell_angle_gamma 90.00
_space_group_name_H-M_alt 'I 4/m m m'
_space_group_IT_number 139
_space_group_name_Hall '-I 4 2'
loop_
_atom_site_label
_atom_site_type_symbol
_atom_site_fract_x
_atom_site_fract_y
_atom_site_fract_z
Re1 Re 0.0000 0.0000 0.0000
Ir1 Ir 0.0000 0.0000 0.3383
# V = 14.65 Å³ per atom
# energy of formation from the pure elements = -156.7 meV/atom

=====

# Re3Ir2 (PBE, relaxed)
data_Re3Ir2
_chemical_formula_sum 'Re9 Ir6'
_cell_length_a 2.7567
_cell_length_b 2.7567
_cell_length_c 33.6062
_cell_angle_alpha 90.00
_cell_angle_beta 90.00
_cell_angle_gamma 120.00
_space_group_name_H-M_alt 'R -3 m'
_space_group_IT_number 166
_space_group_name_Hall '-R 3 2"'
loop_
_atom_site_label
_atom_site_type_symbol
_atom_site_fract_x
_atom_site_fract_y
_atom_site_fract_z
Re1 Re 0.0000 0.0000 0.0000
Re2 Re 0.0000 0.0000 0.1998
Ir1 Ir 0.0000 0.0000 0.3991
# V = 14.74 Å³ per atom
# energy of formation from the pure elements = -86.2 meV/atom

=====

# ReIr (PBE, relaxed)
data_ReIr
_chemical_formula_sum 'Re2 Ir2'
_cell_length_a 3.8894
_cell_length_b 3.8894
_cell_length_c 5.3025
_cell_angle_alpha 90.00
_cell_angle_beta 90.00
_cell_angle_gamma 120.00
_space_group_name_H-M_alt 'P 63/m m c'
_space_group_IT_number 194
_space_group_name_Hall '-P 6c 2c'
loop_
_atom_site_label
_atom_site_type_symbol
_atom_site_fract_x
_atom_site_fract_y
_atom_site_fract_z
Re1 Re 0.3333 0.6667 0.2500
Ir1 Ir 0.0000 0.0000 0.0000
# V = 17.37 Å³ per atom
# energy of formation from the pure elements = 848.4 meV/atom

=====

# ReIr4 (PBE, relaxed)
data_ReIr4
_chemical_formula_sum 'Re2 Ir8'
_cell_length_a 5.7093
_cell_length_b 5.7093
_cell_length_c 5.7093
_cell_angle_alpha 90.00
_cell_angle_beta 90.00
_cell_angle_gamma 90.00
_space_group_name_H-M_alt 'I m -3 m'
_space_group_IT_number 229
_space_group_name_Hall '-I 4 2 3'
loop_
_atom_site_label
_atom_site_type_symbol
_atom_site_fract_x
_atom_site_fract_y
_atom_site_fract_z
Re1 Re 0.0000 0.0000 0.0000
Ir1 Ir 0.2500 0.2500 0.2500
# V = 18.61 Å³ per atom
# energy of formation from the pure elements = 1056.8 meV/atom

=====

# ReIr (PBE, relaxed)
data_ReIr
_chemical_formula_sum 'Re6 Ir6'
_cell_length_a 10.0322
_cell_length_b 2.7543
_cell_length_c 6.5458
_cell_angle_alpha 90.00
_cell_angle_beta 103.86
_cell_angle_gamma 90.00
_space_group_name_H-M_alt 'C 1 m 1'
_space_group_IT_number 8
_space_group_name_Hall 'C -2y'
loop_
_atom_site_label
_atom_site_type_symbol
_atom_site_fract_x
_atom_site_fract_y
_atom_site_fract_z
Re1 Re 0.0000 0.0000 0.0000
Re2 Re 0.0593 0.0000 0.6135
Re3 Re 0.3871 0.0000 0.2800
Ir1 Ir 0.1642 0.5000 0.3330
Ir2 Ir 0.2214 0.5000 0.9471
Ir3 Ir 0.3404 0.0000 0.6701
# V = 14.63 Å³ per atom
# energy of formation from the pure elements = -207.2 meV/atom

=====

# ReIr4 (PBE, relaxed)
data_ReIr4
_chemical_formula_sum 'Re2 Ir8'
_cell_length_a 3.5855
_cell_length_b 3.5855
_cell_length_c 12.6639
_cell_angle_alpha 90.00
_cell_angle_beta 90.00
_cell_angle_gamma 90.00
_space_group_name_H-M_alt 'I 4/m m m'
_space_group_IT_number 139
_space_group_name_Hall '-I 4 2'
loop_
_atom_site_label
_atom_site_type_symbol
_atom_site_fract_x
_atom_site_fract_y
_atom_site_fract_z
Re1 Re 0.0000 0.0000 0.0000
Ir1 Ir 0.0000 0.0000 0.4023
Ir2 Ir 0.0000 0.5000 0.2500
# V = 16.28 Å³ per atom
# energy of formation from the pure elements = 650.4 meV/atom

=====

# ReIr (PBE, relaxed)
data_ReIr
_chemical_formula_sum 'Re16 Ir16'
_cell_length_a 6.0179
_cell_length_b 8.6673
_cell_length_c 12.1860
_cell_angle_alpha 90.00
_cell_angle_beta 90.00
_cell_angle_gamma 90.00
_space_group_name_H-M_alt 'F d d d'
_space_group_IT_number 70
loop_
_space_group_symop_operation_xyz
'x,y,z'
'-x,-y,-z'
'-x+1/4,-y+1/4,z'
'x+1/4,y+1/4,-z'
'x,-y+1/4,-z+1/4'
'-x,y+1/4,z+1/4'
'-x+1/4,y,-z+1/4'
'x+1/4,-y,z+1/4'
'x,y+1/2,z+1/2'
'-x,-y+1/2,-z+1/2'
'-x+1/4,-y+3/4,z+1/2'
'x+1/4,y+3/4,-z+1/2'
'x,-y+3/4,-z+3/4'
'-x,y+3/4,z+3/4'
'-x+1/4,y+1/2,-z+3/4'
'x+1/4,-y+1/2,z+3/4'
'x+1/2,y,z+1/2'
'-x+1/2,-y,-z+1/2'
'-x+3/4,-y+1/4,z+1/2'
'x+3/4,y+1/4,-z+1/2'
'x+1/2,-y+1/4,-z+3/4'
'-x+1/2,y+1/4,z+3/4'
'-x+3/4,y,-z+3/4'
'x+3/4,-y,z+3/4'
'x+1/2,y+1/2,z'
'-x+1/2,-y+1/2,-z'
'-x+3/4,-y+3/4,z'
'x+3/4,y+3/4,-z'
'x+1/2,-y+3/4,-z+1/4'
'-x+1/2,y+3/4,z+1/4'
'-x+3/4,y+1/2,-z+1/4'
'x+3/4,-y+1/2,z+1/4'
loop_
_atom_site_label
_atom_site_type_symbol
_atom_site_fract_x
_atom_site_fract_y
_atom_site_fract_z
Re1 Re 0.1250 0.1250 0.2693
Ir1 Ir 0.0838 0.3750 0.8750
# V = 19.86 Å³ per atom
# energy of formation from the pure elements = 1135.6 meV/atom

=====

| no. | final energy (eV per atom) | total magnetization (μB per cell) | energy above the lowest structure with this stoichiometry (eV/atom) |
| --- | --- | --- | --- |
| 1 | -10.12 | 0.00 | 0.015 |
| 2 | -10.71 | 0.00 | 0.224 |
| 3 | -9.70 | 0.00 | 0.589 |
| 4 | -10.21 | 0.00 | 0.081 |
| 5 | -11.29 | 0.00 | 0.000 |
| 6 | -10.21 | 0.00 | 0.074 |
| 7 | -11.10 | 0.00 | 0.000 |
| 8 | -9.81 | 0.00 | 1.125 |
| 9 | -8.52 | 0.00 | 1.153 |
| 10 | -10.86 | 0.00 | 0.069 |
| 11 | -8.93 | 2.64 | 0.747 |
| 12 | -9.52 | 0.00 | 1.412 |